1.
TbGdHoRu | PBE | optimized geometry Values from VASP.

```
&SYSTEM
  ibrav = 0, nat = 4, ntyp = 4
/
ATOMIC_SPECIES
Ru 101.07 Ru.upf
Gd 157.25 Gd.upf
Tb 158.93 Tb.upf
Ho 164.93 Ho.upf
CELL_PARAMETERS angstrom
-4.331 1.835 2.124
-4.536 -2.223 -1.059
-2.448 -2.726 3.634
ATOMIC_POSITIONS crystal
Ru 0.250 0.250 0.250
Gd 0.000 0.000 0.000
Tb 0.500 0.500 0.500
Ho 0.750 0.750 0.750
```

Summary:
ΔH_f (0 K), eV per atom: 0.10
Crystal system: cubic
Energy, eV/atom: -8.0428
SG: F-43m
Mass density, Mg/m³: 9.95

***

2.
Hf2ZnGaH | PBE | optimized geometry Values from VASP.

```
&SYSTEM
  ibrav = 0, nat = 5, ntyp = 4
/
ATOMIC_SPECIES
H 1.01 H.upf
Zn 65.41 Zn.upf
Hf 178.49 Hf.upf
Ga 69.72 Ga.upf
CELL_PARAMETERS angstrom
-3.575 0.646 2.266
1.658 -2.237 3.253
1.592 3.416 1.538
ATOMIC_POSITIONS crystal
H 0.000 0.000 0.000
Zn 0.000 0.000 0.500
Hf 0.000 0.500 0.000
Hf 0.500 0.000 0.000
Ga 0.500 0.500 0.500
```

Summary:
Crystal system: tetragonal
Energy, eV/atom: -5.7477
SG: P4/mmm
Mass density, Mg/m³: 10.97

***

3.
CsNaCeS3 | PBE | optimized geometry Values from VASP.

```
&SYSTEM
  ibrav = 0, nat = 12, ntyp = 4
/
ATOMIC_SPECIES
Cs 132.91 Cs.upf
Na 22.99 Na.upf
Ce 140.12 Ce.upf
S 32.06 S.upf
CELL_PARAMETERS angstrom
-3.715 -0.374 -2.152
-4.410 -2.076 7.973
-0.302 9.861 -1.193
ATOMIC_POSITIONS crystal
Cs 0.250 0.235 0.263
Cs 0.750 0.765 0.737
Na 0.250 0.070 0.605
Na 0.750 0.930 0.395
Ce 0.250 0.676 0.146
Ce 0.750 0.324 0.854
S 0.750 0.848 0.114
S 0.250 0.152 0.886
S 0.250 0.774 0.429
S 0.750 0.226 0.571
S 0.750 0.480 0.141
S 0.250 0.520 0.859
```

Summary:
Crystal system: monoclinic
Energy, eV/atom: -4.8939
SG: P2_1/m
Uncorrected formation energy, eV per atom: -1.479
Mass density, Mg/m³: 3.42

***

4.
ScCuRh2 | PBE | optimized geometry Values from VASP.

```
&SYSTEM
  ibrav = 0, nat = 4, ntyp = 3
/
ATOMIC_SPECIES
Cu 63.55 Cu.upf
Rh 102.91 Rh.upf
Sc 44.96 Sc.upf
CELL_PARAMETERS angstrom
4.878 -0.002 -0.018
1.839 4.519 0.018
-3.349 -2.272 2.724
ATOMIC_POSITIONS crystal
Cu 0.250 0.750 0.500
Rh 0.000 0.000 0.000
Rh 0.750 0.250 0.500
Sc 0.500 0.500 0.000
```

Summary:
ΔH_f (0 K), eV per atom: -0.45
Crystal system: tetragonal
Energy, eV/atom: -6.7290
SG: I-4m2
Mass density, Mg/m³: 8.69

***

5.
CsZn2Sb2 | PBE | optimized geometry Values from VASP.

```
&SYSTEM
  ibrav = 0, nat = 10, ntyp = 3
/
ATOMIC_SPECIES
Cs 132.91 Cs.upf
Zn 65.41 Zn.upf
Sb 121.76 Sb.upf
CELL_PARAMETERS angstrom
7.662 -0.697 -2.184
-4.267 6.402 -2.184
-0.105 -0.176 7.364
ATOMIC_POSITIONS crystal
Cs 0.867 0.633 0.750
Cs 0.133 0.367 0.250
Zn 0.224 0.968 0.441
Zn 0.468 0.724 0.941
Zn 0.776 0.032 0.559
Zn 0.532 0.276 0.059
Sb 0.232 0.268 0.750
Sb 0.476 0.024 0.250
Sb 0.524 0.976 0.750
Sb 0.768 0.732 0.250
```

Summary:
Crystal system: monoclinic
Energy, eV/atom: -2.5627
SG: C2/c
Uncorrected formation energy, eV per atom: -0.233
Mass density, Mg/m³: 5.06

***

6.
FeSn3W | PBE | optimized geometry Values from VASP.

```
&SYSTEM
  ibrav = 0, nat = 5, ntyp = 3
/
ATOMIC_SPECIES
Sn 118.71 Sn.upf
W 183.84 W.upf
Fe 55.84 Fe.upf
CELL_PARAMETERS angstrom
-1.864 -4.357 2.009
0.265 -2.246 -4.624
4.790 -1.571 1.038
ATOMIC_POSITIONS crystal
Sn 0.000 0.500 0.000
Sn 0.000 0.000 0.500
Sn 0.500 0.000 0.000
W 0.000 0.000 0.000
Fe 0.500 0.500 0.500
```

Summary:
ΔH_f (0 K), eV per atom: 1.04
Crystal system: cubic
Energy, eV/atom: -5.6467
SG: Pm-3m
Mass density, Mg/m³: 7.26

***

7.
Pr6Te3PIr2 | PBE | optimized geometry Values from VASP.

```
&SYSTEM
  ibrav = 0, nat = 12, ntyp = 4
/
ATOMIC_SPECIES
Pr 140.91 Pr.upf
Te 127.60 Te.upf
P 30.97 P.upf
Ir 192.22 Ir.upf
CELL_PARAMETERS angstrom
-2.518 1.456 3.161
-4.863 -7.566 -0.389
8.396 -2.299 4.829
ATOMIC_POSITIONS crystal
Pr 0.339 0.887 0.678
Pr 0.676 0.564 0.352
Pr 0.661 0.113 0.322
Pr 0.012 0.235 0.024
Pr 0.988 0.765 0.976
Pr 0.324 0.436 0.648
Te 0.500 0.500 0.000
Te 0.837 0.161 0.674
Te 0.163 0.839 0.326
P 0.500 0.000 0.000
Ir 0.833 0.665 0.666
Ir 0.167 0.335 0.334
```

Summary:
Crystal system: monoclinic
Energy, eV/atom: -6.2878
SG: C2/m
Uncorrected formation energy, eV per atom: -1.185
Mass density, Mg/m³: 7.58

***

8.
CsH6Cl | PBE | optimized geometry Values from VASP.

```
&SYSTEM
  ibrav = 0, nat = 8, ntyp = 3
/
ATOMIC_SPECIES
Cs 132.91 Cs.upf
H 1.01 H.upf
Cl 35.45 Cl.upf
CELL_PARAMETERS angstrom
-3.274 2.053 -3.743
-1.571 -2.944 -4.220
-1.781 -1.080 4.953
ATOMIC_POSITIONS crystal
Cs 0.000 0.000 0.000
H 0.351 0.980 0.677
H 0.980 0.351 0.677
H 0.020 0.649 0.323
H 0.649 0.020 0.323
H 0.818 0.818 0.306
H 0.182 0.182 0.694
Cl 0.500 0.500 0.500
```

Summary:
Crystal system: monoclinic
Energy, eV/atom: -2.7602
SG: C2/m
Mass density, Mg/m³: 2.70

***

9.
Al2ZnCr | PBE | optimized geometry Values from VASP.

```
&SYSTEM
  ibrav = 0, nat = 4, ntyp = 3
/
ATOMIC_SPECIES
Cr 52.00 Cr.upf
Zn 65.41 Zn.upf
Al 26.98 Al.upf
CELL_PARAMETERS angstrom
4.880 -0.001 0.000
2.159 4.377 0.000
-3.521 -2.187 2.577
ATOMIC_POSITIONS crystal
Cr 0.500 0.500 0.000
Zn 0.250 0.750 0.500
Al 0.000 0.000 0.000
Al 0.750 0.250 0.500
```

Summary:
ΔH_f (0 K), eV per atom: -0.08
Crystal system: tetragonal
Energy, eV/atom: -4.6746
SG: I-4m2
Mass density, Mg/m³: 5.17

***

10.
SrAc3B4O12 | PBE | optimized geometry Values from VASP.

```
&SYSTEM
  ibrav = 0, nat = 20, ntyp = 4
/
ATOMIC_SPECIES
Sr 87.62 Sr.upf
Ac 227.00 Ac.upf
B 10.81 B.upf
O 16.00 O.upf
CELL_PARAMETERS angstrom
6.945 0.187 0.259
-1.492 6.785 0.259
-1.492 -1.908 6.516
ATOMIC_POSITIONS crystal
Sr 0.000 0.000 0.000
Ac 0.520 0.480 0.000
Ac 0.480 0.000 0.520
Ac 0.000 0.520 0.480
B 0.977 0.023 0.500
B 0.023 0.500 0.977
B 0.500 0.977 0.023
B 0.500 0.500 0.500
O 0.500 0.371 0.629
O 0.893 0.500 0.107
O 0.107 0.893 0.500
O 0.500 0.107 0.893
O 0.372 0.983 0.153
O 0.153 0.372 0.983
O 0.983 0.153 0.372
O 0.628 0.847 0.017
O 0.017 0.628 0.847
O 0.847 0.017 0.628
O 0.629 0.500 0.371
O 0.371 0.629 0.500
```

Summary:
Crystal system: trigonal
Energy, eV/atom: -7.8887
SG: R32
Uncorrected formation energy, eV per atom: -2.878
Mass density, Mg/m³: 5.28

***

11.
HoZnGaAu3 | PBE | optimized geometry Values from VASP.

```
&SYSTEM
  ibrav = 0, nat = 12, ntyp = 4
/
ATOMIC_SPECIES
Ho 164.93 Ho.upf
Zn 65.41 Zn.upf
Ga 69.72 Ga.upf
Au 196.97 Au.upf
CELL_PARAMETERS angstrom
5.951 0.000 0.000
0.000 6.712 0.000
0.000 -3.356 6.131
ATOMIC_POSITIONS crystal
Ho 0.750 0.308 0.616
Ho 0.250 0.692 0.384
Zn 0.250 0.929 0.859
Zn 0.750 0.071 0.141
Ga 0.250 0.361 0.723
Ga 0.750 0.639 0.277
Au 0.250 0.158 0.316
Au 0.000 0.287 0.000
Au 0.500 0.713 0.000
Au 0.500 0.287 0.000
Au 0.000 0.713 0.000
Au 0.750 0.842 0.684
```

Summary:
ΔH_f (0 K), eV per atom: -0.33
Crystal system: orthorhombic
Energy, eV/atom: -3.4512
SG: Cmcm
Mass density, Mg/m³: 12.08

***

12.
LiMg5Ga4 | PBE | optimized geometry Values from VASP.

```
&SYSTEM
  ibrav = 0, nat = 10, ntyp = 3
/
ATOMIC_SPECIES
Li 6.94 Li.upf
Mg 24.30 Mg.upf
Ga 69.72 Ga.upf
CELL_PARAMETERS angstrom
3.510 0.000 0.000
0.000 3.391 0.000
0.000 0.000 16.326
ATOMIC_POSITIONS crystal
Li 0.000 0.000 0.000
Mg 0.500 0.500 0.100
Mg 0.500 0.500 0.298
Mg 0.500 0.500 0.500
Mg 0.500 0.500 0.702
Mg 0.500 0.500 0.900
Ga 0.000 0.000 0.196
Ga 0.000 0.000 0.400
Ga 0.000 0.000 0.600
Ga 0.000 0.000 0.804
```

Summary:
ΔH_f (0 K), eV per atom: -0.13
Crystal system: orthorhombic
Energy, eV/atom: -2.3270
SG: Pmmm
Mass density, Mg/m³: 3.48

***

13.
MgFeRu | PBE | optimized geometry Values from VASP.

```
&SYSTEM
  ibrav = 0, nat = 6, ntyp = 3
/
ATOMIC_SPECIES
Ru 101.07 Ru.upf
Mg 24.30 Mg.upf
Fe 55.84 Fe.upf
CELL_PARAMETERS angstrom
-3.212 1.044 3.755
-4.623 -2.032 -0.095
2.096 -4.564 -0.534
ATOMIC_POSITIONS crystal
Ru 0.420 0.292 0.754
Ru 0.921 0.792 0.754
Mg 0.671 0.414 0.382
Mg 0.170 0.170 0.126
Fe 0.920 0.792 0.254
Fe 0.420 0.792 0.754
```

Summary:
ΔH_f (0 K), eV per atom: 0.10
Crystal system: orthorhombic
Energy, eV/atom: -6.3483
SG: Imma
Mass density, Mg/m³: 6.66

***

14.
KY2Si | PBE | optimized geometry Values from VASP.

```
&SYSTEM
  ibrav = 0, nat = 4, ntyp = 3
/
ATOMIC_SPECIES
K 39.10 K.upf
Si 28.09 Si.upf
Y 88.91 Y.upf
CELL_PARAMETERS angstrom
5.448 0.000 0.000
2.724 4.718 0.000
2.724 1.573 4.449
ATOMIC_POSITIONS crystal
K 0.500 0.500 0.500
Si 0.750 0.750 0.750
Y 0.000 0.000 0.000
Y 0.250 0.250 0.250
```

Summary:
Crystal system: cubic
Energy, eV/atom: -4.3722
SG: F-43m
Uncorrected formation energy, eV per atom: 0.490
Mass density, Mg/m³: 3.56

***

15.
Ti2RuPt | PBE | optimized geometry Values from VASP.

```
&SYSTEM
  ibrav = 0, nat = 4, ntyp = 3
/
ATOMIC_SPECIES
Ru 101.07 Ru.upf
Pt 195.08 Pt.upf
Ti 47.87 Ti.upf
CELL_PARAMETERS angstrom
-0.149 -0.045 -3.070
-2.688 -1.483 0.153
-3.124 5.670 0.068
ATOMIC_POSITIONS crystal
Ru 0.500 0.500 0.000
Pt 0.500 0.500 0.500
Ti 0.000 0.000 0.763
Ti 0.000 0.000 0.237
```

Summary:
ΔH_f (0 K), eV per atom: -0.76
Crystal system: tetragonal
Energy, eV/atom: -8.5395
SG: P4/mmm
Mass density, Mg/m³: 10.64

***

16.
Rb4Np3BiSe8 | PBE | optimized geometry Values from VASP.

```
&SYSTEM
  ibrav = 0, nat = 16, ntyp = 4
/
ATOMIC_SPECIES
Rb 85.47 Rb.upf
Np 237.00 Np.upf
Bi 208.98 Bi.upf
Se 78.96 Se.upf
CELL_PARAMETERS angstrom
-5.863 3.496 -5.307
-4.520 -8.263 -0.449
1.298 3.398 7.848
ATOMIC_POSITIONS crystal
Rb 0.500 0.000 0.000
Rb 0.500 0.000 0.500
Rb 0.000 0.000 0.000
Rb 0.000 0.000 0.500
Np 0.500 0.500 0.000
Np 0.500 0.500 0.500
Np 0.000 0.500 0.500
Bi 0.000 0.500 0.000
Se 0.236 0.699 0.963
Se 0.236 0.699 0.473
Se 0.268 0.306 0.537
Se 0.727 0.699 0.963
Se 0.273 0.301 0.037
Se 0.732 0.694 0.463
Se 0.764 0.301 0.527
Se 0.764 0.301 0.037
```

Summary:
Crystal system: monoclinic
Energy, eV/atom: -5.7699
SG: C2/m
Uncorrected formation energy, eV per atom: -1.117
Mass density, Mg/m³: 6.07

***

17.
Lu2VNi | PBE | optimized geometry Values from VASP.

```
&SYSTEM
  ibrav = 0, nat = 4, ntyp = 3
/
ATOMIC_SPECIES
Ni 58.69 Ni.upf
Lu 174.97 Lu.upf
V 50.94 V.upf
CELL_PARAMETERS angstrom
3.422 0.000 0.000
0.000 3.422 0.000
0.000 0.000 6.690
ATOMIC_POSITIONS crystal
Ni 0.500 0.500 0.000
Lu 0.000 0.000 0.761
Lu 0.000 0.000 0.239
V 0.500 0.500 0.500
```

Summary:
ΔH_f (0 K), eV per atom: -0.05
Crystal system: tetragonal
Energy, eV/atom: -6.0329
SG: P4/mmm
Mass density, Mg/m³: 9.74

***

18.
Ag2PtBr | PBE | optimized geometry Values from VASP.

```
&SYSTEM
  ibrav = 0, nat = 4, ntyp = 3
/
ATOMIC_SPECIES
Br 79.90 Br.upf
Ag 107.87 Ag.upf
Pt 195.08 Pt.upf
CELL_PARAMETERS angstrom
-2.925 -2.418 -5.588
-5.298 -4.053 -1.066
3.039 5.522 2.428
ATOMIC_POSITIONS crystal
Br 0.750 0.250 0.500
Ag 0.049 0.049 0.000
Ag 0.451 0.451 0.000
Pt 0.250 0.750 0.500
```

Summary:
Crystal system: orthorhombic
Energy, eV/atom: -3.0220
SG: Immm
Uncorrected formation energy, eV per atom: 0.332
Mass density, Mg/m³: 9.82

***

19.
TbPm6Er12 | PBE | optimized geometry Values from VASP.

```
&SYSTEM
  ibrav = 0, nat = 19, ntyp = 3
/
ATOMIC_SPECIES
Tb 158.93 Tb.upf
Pm 145.00 Pm.upf
Er 167.26 Er.upf
CELL_PARAMETERS angstrom
-1.512 -6.596 5.438
-2.089 -3.935 -7.451
8.638 -0.688 -0.528
ATOMIC_POSITIONS crystal
Tb 0.000 0.000 0.000
Pm 0.902 0.344 0.902
Pm 0.902 0.902 0.344
Pm 0.344 0.902 0.902
Pm 0.098 0.098 0.656
Pm 0.098 0.656 0.098
Pm 0.656 0.098 0.098
Er 0.757 0.243 0.500
Er 0.355 0.081 0.355
Er 0.355 0.355 0.081
Er 0.919 0.645 0.645
Er 0.645 0.645 0.919
Er 0.645 0.919 0.645
Er 0.500 0.757 0.243
Er 0.243 0.500 0.757
Er 0.243 0.757 0.500
Er 0.500 0.243 0.757
Er 0.757 0.500 0.243
Er 0.081 0.355 0.355
```

Summary:
ΔH_f (0 K), eV per atom: 0.22
Crystal system: trigonal
Energy, eV/atom: -4.4085
SG: R-3m
Mass density, Mg/m³: 8.02

***

20.
YSi3PdRh | PBE | optimized geometry Values from VASP.

```
&SYSTEM
  ibrav = 0, nat = 12, ntyp = 4
/
ATOMIC_SPECIES
Y 88.91 Y.upf
Si 28.09 Si.upf
Pd 106.42 Pd.upf
Rh 102.91 Rh.upf
CELL_PARAMETERS angstrom
5.529 0.000 0.000
0.000 5.535 0.000
0.000 -2.768 7.568
ATOMIC_POSITIONS crystal
Y 0.750 0.304 0.608
Y 0.250 0.696 0.392
Si 0.250 0.239 0.478
Si 0.000 0.264 0.000
Si 0.500 0.736 0.000
Si 0.500 0.264 0.000
Si 0.000 0.736 0.000
Si 0.750 0.761 0.522
Pd 0.250 0.396 0.791
Pd 0.750 0.604 0.209
Rh 0.250 0.085 0.170
Rh 0.750 0.915 0.830
```

Summary:
Crystal system: orthorhombic
Energy, eV/atom: -6.3989
SG: Cmcm
Uncorrected formation energy, eV per atom: -0.519
Mass density, Mg/m³: 5.48